The following is a DFT calculation (PBE-GGA) of a relaxed SrHgGe2S6 crystal.

Properties
The raw formation energy comes out at -628 meV/atom. The total magnetization is 0.0000 μB per atom. Its density of states at the Fermi level is 0.0 states/eV per cell.

POSCAR file:
```
SrHgGe2S6
1.0
6.5172 -6.5207 0.0000
6.5172 6.5207 0.0000
-2.1477 0.0000 6.3377
Sr Hg Ge S
2 2 4 12
Direct
0.1171 0.8829 0.7500
0.8829 0.1171 0.2500
0.2951 0.7049 0.2500
0.7049 0.2951 0.7500
0.2248 0.3643 0.7819
0.3643 0.2248 0.2819
0.6357 0.7752 0.7181
0.7752 0.6357 0.2181
0.0408 0.1963 0.6976
0.1425 0.5907 0.9088
0.1963 0.0408 0.1976
0.3115 0.4250 0.5147
0.4093 0.8575 0.5912
0.4250 0.3115 0.0147
0.5750 0.6885 0.9853
0.5907 0.1425 0.4088
0.6885 0.5750 0.4853
0.8037 0.9592 0.8024
0.8575 0.4093 0.0912
0.9592 0.8037 0.3024
```